# 1
This record from Alexandria describes crystalline Cd4SnHg7 at its relaxed geometry. The functional is GGA-PBE.

Properties
Total energy, eV per cell: -18.747
Polymorph energy (0 for the lowest one), meV/atom: 0

Cell lengths 13.0552, 3.6259, 13.2406 Å; angles 90.00, 93.49, 90.00 degrees
Closest atoms and distances in Å follow each position.
Space group Cm (No. 8)
One atom of each set of equivalent atoms:
Cd (0.0000, 0.0000, 0.0000)  7 Hg 3.08-3.17, 2 Cd 3.18
Cd (0.0457, 0.5000, 0.5731)  5 Hg 2.88-3.08, 2 Sn 3.21
Cd (0.2430, 0.5000, 0.2838)  7 Hg 3.08-3.17, 2 Cd 3.15
Cd (0.3726, 0.0000, 0.1444)  4 Cd 3.15-3.18, 6 Hg 3.17-3.23
Sn (0.2056, 0.0000, 0.7058)  6 Hg 2.95-3.22, 2 Cd 3.21
Hg (0.0545, 0.0000, 0.2364)  5 Cd 3.09-3.17, 3 Hg 3.29-3.40
Hg (0.0553, 0.5000, 0.8233)  3 Cd 3.08-3.31, 2 Sn 3.15, 2 Hg 3.26-3.37
Hg (0.1899, 0.5000, 0.0488)  5 Cd 3.11-3.20, 3 Hg 3.24-3.37
Hg (0.1933, 0.0000, 0.4623)  4 Cd 3.08, 2 Hg 3.17-3.40, 1 Sn 3.22
Hg (0.3239, 0.0000, 0.9029)  1 Sn 2.95, 3 Cd 3.14-3.22, 3 Hg 3.24-3.26
Hg (0.3839, 0.5000, 0.6500)  2 Cd 3.01, 2 Sn 3.08
Hg (0.4190, 0.0000, 0.3870)  3 Cd 2.88-3.17, 1 Hg 3.17

=====

# 2
This record from Alexandria describes crystalline CsP2Pt at its relaxed geometry. The functional is GGA-PBE.

Properties
Total energy, eV per cell: -54.838
Polymorph energy (0 for the lowest one), meV/atom: 0

Cell lengths 4.0025, 4.0025, 24.7411 Å; angles 90.00, 90.00, 120.00 degrees
Closest atoms and distances in Å follow each position.
Space group R-3m (No. 166, hexagonal axes)
One atom of each set of equivalent atoms:
Cs (0.0000, 0.0000, 0.0000)  2 P 3.29
P (0.0000, 0.0000, 0.1331)  3 Pt 2.46
Pt (0.0000, 0.0000, 0.5000)  6 P 2.46

=====

# 3
This record from Alexandria describes crystalline CeMg2Tl at its relaxed geometry. The functional is GGA-PBE.

Properties
Total energy, eV per cell: -47.908
Polymorph energy (0 for the lowest one), meV/atom: 0

Cell lengths 7.4509, 7.4509, 7.4509 Å; angles 90.00, 90.00, 90.00 degrees
Closest atoms and distances in Å follow each position.
Space group F-43m (No. 216)
One atom of each set of equivalent atoms:
Ce (0.0000, 0.0000, 0.0000)  4 Tl 3.23, 4 Mg 3.23
Mg (0.0000, 0.0000, 0.5000)  4 Tl 3.23, 4 Mg 3.23
Mg (0.2500, 0.2500, 0.2500)  4 Ce 3.23, 4 Mg 3.23
Tl (0.2500, 0.2500, 0.7500)  4 Ce 3.23, 4 Mg 3.23

=====

# 4
This record from Alexandria describes crystalline InSnI4Br at its relaxed geometry. The functional is GGA-PBE.

Properties
Total energy, eV per cell: -72.919
Uncorrected formation energy, eV/f.u.: -3.6

Cell lengths 11.6622, 11.6012, 11.7345 Å; angles 90.00, 104.19, 90.00 degrees
Closest atoms and distances in Å follow each position.
Space group C2/m (No. 12)
One atom of each set of equivalent atoms:
In (0.1510, 0.0000, 0.2790)  4 I 2.69-2.85
Sn (0.1881, 0.5000, 0.0071)  1 Br 2.70
I (0.0801, 0.0000, 0.7138)  1 In 2.72
I (0.1824, 0.5000, 0.5171)  1 In 2.69
I (0.1932, 0.1809, 0.1295)  1 In 2.85, 1 Sn 3.16
Br (0.0113, 0.5000, 0.1681)  1 Sn 2.70

=====

# 5
This record from Alexandria describes crystalline AcHo2ThS4 at its relaxed geometry. The functional is GGA-PBE.

Properties
Total energy, eV per cell: -52.551
Uncorrected formation energy, eV/f.u.: -15.4

Cell lengths 6.8851, 3.9573, 7.1569 Å; angles 90.00, 108.64, 90.00 degrees
Closest atoms and distances in Å follow each position.
Space group P2/m (No. 10)
One atom of each set of equivalent atoms:
Ac (0.0000, 0.0000, 0.0000)  6 S 2.98
Ho (0.0000, 0.5000, 0.5000)  6 S 2.78
Ho (0.5000, 0.0000, 0.5000)  6 S 2.72-2.73
Th (0.5000, 0.5000, 0.0000)  6 S 2.92-2.93
S (0.2494, 0.0000, 0.7278)  3 Ho 2.73-2.78, 2 Th 2.92, 1 Ac 2.98
S (0.2657, 0.5000, 0.2778)  3 Ho 2.72-2.78, 1 Th 2.93, 2 Ac 2.98

=====

# 6
This record from Alexandria describes crystalline RbSc2NiSe4 at its relaxed geometry. The functional is GGA-PBE.

Properties
Total energy, eV per cell: -175.054
Uncorrected formation energy, eV/f.u.: -10.4

Cell lengths 3.9039, 14.1414, 13.8007 Å; angles 90.00, 90.00, 90.00 degrees
Closest atoms and distances in Å follow each position.
Space group Cmcm (No. 63)
One atom of each set of equivalent atoms:
Rb (0.0000, 0.1140, 0.2500)  6 Se 3.25-3.35
Sc (0.0000, 0.3695, 0.0658)  6 Se 2.68-2.86
Ni (0.0000, 0.1609, 0.7500)  4 Se 2.34-2.40
Se (0.0000, 0.0000, 0.0000)  4 Sc 2.84
Se (0.0000, 0.2548, 0.6053)  1 Ni 2.40, 2 Sc 2.68
Se (0.0000, 0.4300, 0.2500)  2 Ni 2.34

=====

# 7
This record from Alexandria describes crystalline Ti6Al3Sn at its relaxed geometry. The functional is GGA-PBE.

Properties
Total energy, eV per cell: -256.413

Cell lengths 7.8974, 16.3968, 5.4076 Å; angles 90.00, 90.00, 90.00 degrees
Closest atoms and distances in Å follow each position.
Space group Cmc2_1 (No. 36)
One atom of each set of equivalent atoms:
Ti (0.0000, 0.0017, 0.0000)  4 Al 2.69-2.75, 4 Ti 2.70-2.98, 2 Sn 2.79-2.86
Ti (0.0000, 0.2935, 0.9640)  1 Al 2.73, 6 Ti 2.78-3.03, 1 Sn 2.79
Ti (0.1774, 0.2729, 0.5253)  3 Al 2.68-2.88, 3 Ti 2.78-2.80, 1 Sn 2.86
Ti (0.1823, 0.4423, 0.7653)  4 Al 2.82-3.05, 5 Ti 2.88-3.07, 1 Sn 2.94
Al (0.0000, 0.4110, 0.3213)  2 Al 2.63, 7 Ti 2.73-2.88
Al (0.1776, 0.1156, 0.7318)  2 Al 2.63-2.81, 5 Ti 2.68-2.91
Sn (0.0000, 0.1512, 0.2470)  9 Ti 2.79-3.08, 2 Al 3.03

=====

# 8
This record from Alexandria describes crystalline BaLiMgCu at its relaxed geometry. The functional is GGA-PBE.

Properties
Total energy, eV per cell: -36.477

Cell lengths 7.5390, 7.5390, 7.5390 Å; angles 90.00, 90.00, 90.00 degrees
Closest atoms and distances in Å follow each position.
Space group F-43m (No. 216)
One atom of each set of equivalent atoms:
Ba (0.0000, 0.0000, 0.0000)  4 Li 3.26, 4 Cu 3.26
Li (0.2500, 0.2500, 0.7500)  4 Ba 3.26, 4 Mg 3.26
Mg (0.0000, 0.0000, 0.5000)  4 Li 3.26, 4 Cu 3.26
Cu (0.2500, 0.2500, 0.2500)  4 Ba 3.26, 4 Mg 3.26

=====

# 9
This record from Alexandria describes crystalline Tm2GeRu at its relaxed geometry. The functional is GGA-PBE.

Properties
Total energy, eV per cell: -50.867

Cell lengths 6.0727, 3.5455, 8.2343 Å; angles 90.00, 105.16, 90.00 degrees
Closest atoms and distances in Å follow each position.
Space group P2_1/m (No. 11)
One atom of each set of equivalent atoms:
Tm (0.2082, 0.2500, 0.4247)  3 Ru 2.82-3.11, 3 Ge 2.99-3.02
Tm (0.2652, 0.7500, 0.0540)  3 Ru 2.85-2.97, 3 Ge 2.99-3.00
Ge (0.3862, 0.7500, 0.7228)  2 Ru 2.56
Ru (0.1104, 0.2500, 0.7769)  2 Ge 2.56, 4 Tm 2.82-2.85

=====

# 10
This record from Alexandria describes crystalline Sc8Tl2Sb at its relaxed geometry. The functional is GGA-PBE.

Properties
Total energy, eV per cell: -122.822
Uncorrected formation energy, eV/f.u.: -1.9

Cell lengths 8.1351, 13.8394, 5.2870 Å; angles 90.00, 115.45, 90.00 degrees
Closest atoms and distances in Å follow each position.
Space group C2/m (No. 12)
One atom of each set of equivalent atoms:
Sc (0.0000, 0.2151, 0.0000)  2 Tl 2.92, 1 Sb 2.98
Sc (0.0946, 0.5000, 0.7961)  4 Sc 2.83-3.14, 1 Sb 3.00, 2 Tl 3.05
Sc (0.2094, 0.1114, 0.6336)  2 Tl 2.98-3.08, 4 Sc 3.08-3.26
Tl (0.0000, 0.3046, 0.5000)  8 Sc 2.92-3.08
Sb (0.0000, 0.0000, 0.0000)  4 Sc 2.98-3.00

=====

# 11
This record from Alexandria describes crystalline LaNd2DyTh at its relaxed geometry. The functional is GGA-PBE.

Properties
Total energy, eV per cell: -50.010

Cell lengths 8.7159, 6.4843, 6.4604 Å; angles 90.00, 98.62, 90.00 degrees
Closest atoms and distances in Å follow each position.
Space group P2/c (No. 13)
One atom of each set of equivalent atoms:
La (0.0000, 0.0000, 0.0000)  2 La 3.23, 2 Th 3.36, 2 Nd 3.50
Nd (0.3152, 0.3134, 0.1999)  1 Nd 3.19, 1 Th 3.19, 1 La 3.50, 1 Dy 3.52
Dy (0.5000, 0.1698, 0.7500)  8 Nd 3.52-3.79, 2 Dy 3.91
Th (0.0000, 0.4536, 0.7500)  2 Nd 3.19, 2 Th 3.29, 2 La 3.36

=====

# 12
This record from Alexandria describes crystalline Sc2Al5Cu2Ru at its relaxed geometry. The functional is GGA-PBE.

Properties
Total energy, eV per cell: -105.992

Cell lengths 9.8661, 9.8661, 3.2928 Å; angles 90.00, 90.00, 90.00 degrees
Closest atoms and distances in Å follow each position.
Space group P4/mbm (No. 127)
One atom of each set of equivalent atoms:
Sc (0.1745, 0.3255, 0.0000)  3 Cu 2.74-3.03, 2 Al 2.94
Al (0.0000, 0.5000, 0.5000)  4 Cu 2.44
Al (0.0554, 0.8038, 0.5000)  2 Cu 2.49, 2 Ru 2.60
Cu (0.1292, 0.6292, 0.0000)  6 Al 2.44-2.49
Ru (0.0000, 0.0000, 0.0000)  8 Al 2.60

=====

# 13
This record from Alexandria describes crystalline Se2Br at its relaxed geometry. The functional is GGA-PBE.

Properties
Total energy, eV per cell: -55.959
Uncorrected formation energy, eV/f.u.: 1.6
Polymorph energy (0 for the lowest one), meV/atom: 595

Cell lengths 8.1445, 8.1445, 8.1445 Å; angles 90.00, 90.00, 90.00 degrees
Closest atoms and distances in Å follow each position.
Space group Fd-3m (No. 227, origin choice 2)
One atom of each set of equivalent atoms:
Se (0.0000, 0.0000, 0.0000)  6 Se 2.88
Br (0.1250, 0.1250, 0.6250)  12 Se 3.38, 4 Br 3.53

=====

# 14
This record from Alexandria describes crystalline LaY2Th3Se6 at its relaxed geometry. The functional is GGA-PBE.

Properties
Total energy, eV per cell: -162.275
Uncorrected formation energy, eV/f.u.: -20.1

Cell lengths 7.1540, 12.3072, 7.4372 Å; angles 90.00, 108.46, 90.00 degrees
Closest atoms and distances in Å follow each position.
Space group C2/m (No. 12)
One atom of each set of equivalent atoms:
La (0.0000, 0.0000, 0.0000)  6 Se 2.97-3.00
Y (0.0000, 0.3321, 0.0000)  6 Se 2.87-2.90
Th (0.0000, 0.1598, 0.5000)  6 Se 2.98-3.02
Th (0.0000, 0.5000, 0.5000)  6 Se 2.96-3.02
Se (0.2330, 0.5000, 0.2351)  2 Y 2.87, 3 Th 2.96-3.00, 1 La 2.97
Se (0.2462, 0.3276, 0.7560)  2 Y 2.89-2.90, 3 Th 2.98-3.02, 1 La 3.00

=====

# 15
This record from Alexandria describes crystalline Ca2Mg6CdGa at its relaxed geometry. The functional is GGA-PBE.

Properties
Total energy, eV per cell: -35.697

Cell lengths 8.1093, 9.7721, 6.8917 Å; angles 90.00, 90.00, 90.00 degrees
Closest atoms and distances in Å follow each position.
Space group Pmmn (No. 59, origin choice 2)
One atom of each set of equivalent atoms:
Ca (0.2500, 0.0120, 0.2377)  1 Ga 3.14, 1 Cd 3.30, 2 Mg 3.39-3.50
Mg (0.0649, 0.2500, 0.9106)  1 Cd 2.77, 1 Ga 2.94, 1 Mg 3.00
Mg (0.0676, 0.7500, 0.5444)  1 Ga 2.65, 1 Mg 2.96
Mg (0.2500, 0.0024, 0.7300)  1 Ga 2.74, 1 Cd 2.84
Cd (0.2500, 0.7500, 0.9347)  6 Mg 2.77-3.07
Ga (0.2500, 0.2500, 0.5431)  6 Mg 2.65-2.94

=====

# 16
This record from Alexandria describes crystalline DySiS3 at its relaxed geometry. The functional is GGA-PBE.

Properties
Total energy, eV per cell: -111.572
Uncorrected formation energy, eV/f.u.: -5.5
Polymorph energy (0 for the lowest one), meV/atom: 205

Cell lengths 7.7153, 6.2925, 8.8581 Å; angles 90.00, 90.00, 90.00 degrees
Closest atoms and distances in Å follow each position.
Space group Pna2_1 (No. 33)
One atom of each set of equivalent atoms:
Dy (0.1208, 0.0699, 0.0000)  7 S 2.77-3.04, 1 Si 2.94
Si (0.2243, 0.6592, 0.1289)  4 S 2.14-2.34
S (0.0530, 0.3295, 0.5223)  2 Si 2.23-2.34
S (0.1772, 0.8557, 0.6967)  1 Si 2.14
S (0.1843, 0.8501, 0.3284)  1 Si 2.16

=====

# 17
This record from Alexandria describes crystalline SrTi2Cu2 at its relaxed geometry. The functional is GGA-PBE.

Properties
Total energy, eV per cell: -48.827
Polymorph energy (0 for the lowest one), meV/atom: 0

Cell lengths 7.9782, 7.9782, 2.9259 Å; angles 90.00, 90.00, 90.00 degrees
Closest atoms and distances in Å follow each position.
Space group P4/mbm (No. 127)
One atom of each set of equivalent atoms:
Sr (0.0000, 0.0000, 0.0000)  2 Sr 2.93, 4 Ti 3.21
Ti (0.1147, 0.3853, 0.0000)  1 Ti 2.59, 6 Cu 2.77-2.79
Cu (0.1743, 0.6743, 0.5000)  6 Ti 2.77-2.79, 2 Cu 2.93

=====

# 18
This record from Alexandria describes crystalline Sm2CoGe2 at its relaxed geometry. The functional is GGA-PBE.

Properties
Total energy, eV per cell: -117.215

Cell lengths 10.7738, 4.2368, 10.4050 Å; angles 90.00, 117.64, 90.00 degrees
Closest atoms and distances in Å follow each position.
Space group C2/m (No. 12)
One atom of each set of equivalent atoms:
Sm (0.0049, 0.0000, 0.3339)  7 Ge 3.00-3.31, 4 Co 3.08-3.28
Sm (0.1894, 0.0000, 0.1159)  6 Ge 2.98-3.19, 2 Co 3.07
Co (0.2230, 0.5000, 0.3435)  4 Ge 2.41-2.60
Ge (0.0111, 0.5000, 0.8772)  1 Co 2.50, 1 Ge 2.67
Ge (0.1663, 0.5000, 0.5606)  3 Co 2.41-2.60

=====

# 19
This record from Alexandria describes crystalline Ce2MgGa4Cu3 at its relaxed geometry. The functional is GGA-PBE.

Properties
Total energy, eV per cell: -41.660

Cell lengths 4.1976, 4.1976, 10.6526 Å; angles 90.00, 90.00, 90.00 degrees
Closest atoms and distances in Å follow each position.
Space group P-4m2 (No. 115)
One atom of each set of equivalent atoms:
Ce (0.0000, 0.5000, 0.2372)  6 Cu 3.20-3.50, 8 Ga 3.20-3.28, 2 Mg 3.50
Mg (0.0000, 0.0000, 0.5000)  4 Ga 2.64
Ga (0.0000, 0.0000, 0.0000)  4 Cu 2.49
Ga (0.0000, 0.5000, 0.6504)  3 Cu 2.39-2.64, 2 Mg 2.64
Ga (0.5000, 0.5000, 0.0000)  4 Cu 2.49
Cu (0.0000, 0.5000, 0.8748)  5 Ga 2.39-2.49
Cu (0.5000, 0.5000, 0.5000)  4 Ga 2.64

=====

# 20
This record from Alexandria describes crystalline LuMn4Mo at its relaxed geometry. The functional is GGA-PBE.

Properties
Total energy, eV per cell: -207.194

Cell lengths 6.9205, 6.9205, 6.9205 Å; angles 90.00, 90.00, 90.00 degrees
Closest atoms and distances in Å follow each position.
Space group F-43m (No. 216)
One atom of each set of equivalent atoms:
Lu (0.0000, 0.0000, 0.0000)  12 Mn 2.87, 4 Mo 3.00
Mn (0.1248, 0.1248, 0.6248)  6 Mn 2.44-2.45
Mo (0.2500, 0.2500, 0.2500)  12 Mn 2.87, 4 Lu 3.00

=====

# 21
This record from Alexandria describes crystalline CuAgF3 at its relaxed geometry. The functional is GGA-PBE.

Properties
Total energy, eV per cell: -37.211
Uncorrected formation energy, eV/f.u.: -6.0
Polymorph energy (0 for the lowest one), meV/atom: 104

Cell lengths 3.0104, 5.8959, 11.3678 Å; angles 90.00, 90.00, 90.00 degrees
Closest atoms and distances in Å follow each position.
Space group Amm2 (No. 38)
One atom of each set of equivalent atoms:
Cu (0.0000, 0.0000, 0.0000)  5 F 1.99-2.04
Ag (0.5000, 0.0000, 0.3296)  4 F 2.27-2.34
F (0.0000, 0.0000, 0.1796)  1 Cu 2.04, 2 Ag 2.27
F (0.5000, 0.2150, 0.9729)  2 Cu 1.99

=====

# 22
This record from Alexandria describes crystalline YZn3C at its relaxed geometry. The functional is GGA-PBE.

Properties
Total energy, eV per cell: -16.984
Polymorph energy (0 for the lowest one), meV/atom: 0

Cell lengths 4.3694, 4.3694, 4.3694 Å; angles 90.00, 90.00, 90.00 degrees
Closest atoms and distances in Å follow each position.
Space group Pm-3m (No. 221)
One atom of each set of equivalent atoms:
Y (0.0000, 0.0000, 0.0000)  12 Zn 3.09
Zn (0.0000, 0.5000, 0.5000)  2 C 2.18
C (0.5000, 0.5000, 0.5000)  6 Zn 2.18